Tm5Al4Ga: optimized geometry, GGA-PBE.

- D(E_F): 4.91 states/eV/f.u.
- SG: P4/mmm (123)
- ΔE_f: -9.71 kcal/mol of atoms

abc: 3.522 3.522 17.987
angles: 90.00 90.00 90.00
Element x y z (fractional)
Tm 0.500 0.500 0.099
Tm 0.500 0.500 0.300
Tm 0.500 0.500 0.500
Tm 0.500 0.500 0.700
Tm 0.500 0.500 0.901
Al 0.000 0.000 0.200
Al 0.000 0.000 0.400
Al 0.000 0.000 0.600
Al 0.000 0.000 0.800
Ga 0.000 0.000 0.000

***

Y2Er2S3: optimized geometry, GGA-PBE.

- D(E_F): 3.43 states/eV/f.u.
- SG: C2/m (12)
- Electronic total energy: -0.2431 Ha/atom

abc: 3.850 6.647 6.686
angles: 100.41 106.73 90.00
Element x y z (fractional)
Y 0.375 0.130 0.749
Y 0.625 0.870 0.251
Er 0.125 0.376 0.250
Er 0.875 0.624 0.750
S 0.000 0.000 0.000
S 0.254 0.749 0.507
S 0.746 0.251 0.493

***

KRb12O7: optimized geometry, GGA-PBE.

- D(E_F): 19.29 states/eV/f.u.
- SG: R-3 (148)
- Electronic total energy: -0.1195 Ha/atom

abc: 10.194 9.240 9.240
angles: 107.29 111.58 111.58
Site moments in Bohr magnetons follow the coordinates.
Element x y z (fractional)
K 0.000 0.000 0.000  0.00
Rb 0.189 0.496 0.108  0.00
Rb 0.919 0.108 0.612  0.00
Rb 0.644 0.813 0.083  0.00
Rb 0.439 0.083 0.271  0.00
Rb 0.307 0.388 0.496  0.00
Rb 0.168 0.729 0.813  0.00
Rb 0.832 0.271 0.187  0.00
Rb 0.693 0.612 0.504  0.00
Rb 0.561 0.917 0.729  0.00
Rb 0.356 0.187 0.917  0.00
Rb 0.081 0.892 0.388  0.00
Rb 0.811 0.504 0.892  0.00
O 0.142 0.777 0.119  0.16
O 0.977 0.119 0.342  0.16
O 0.635 0.658 0.777  0.16
O 0.500 0.000 0.000  0.08
O 0.365 0.342 0.223  0.16
O 0.023 0.881 0.658  0.16
O 0.858 0.223 0.881  0.16

***

CdAuSe2N: optimized geometry, GGA-PBE.

- D(E_F): 9.35 states/eV/f.u.
- SG: P4/mmm (123)
- Electronic total energy: -0.0920 Ha/atom

abc: 5.321 5.321 4.023
angles: 90.00 90.00 90.00
Element x y z (fractional)
N 0.000 0.000 0.500
Au 0.500 0.500 0.500
Se 0.000 0.500 0.000
Se 0.500 0.000 0.000
Cd 0.000 0.000 0.000

***

Mg8Zn2Hg: optimized geometry, GGA-PBE.

- D(E_F): 3.76 states/eV/f.u.
- SG: P1 (1)
- ΔE_f: -1.60 kcal/mol of atoms

abc: 4.746 6.593 8.440
angles: 112.92 106.92 89.99
Element x y z (fractional)
Mg 0.637 0.235 0.908
Mg 0.974 0.022 0.578
Mg 0.299 0.352 0.239
Mg 0.747 0.966 0.134
Mg 0.340 0.858 0.319
Mg 0.932 0.451 0.500
Mg 0.138 0.526 0.910
Mg 0.526 0.740 0.688
Zn 0.793 0.607 0.228
Zn 0.478 0.286 0.587
Hg 0.136 0.956 0.909

***

Sr3TbPm3S8: optimized geometry, GGA-PBE.

- D(E_F): 4.73 states/eV/f.u.
- SG: R-3m (166)
- Electronic total energy: -0.2161 Ha/atom

abc: 8.162 8.162 8.361
angles: 119.22 90.00 120.00
Element x y z (fractional)
Sr 0.000 0.000 0.000
Sr 0.000 0.500 0.000
Sr 0.500 0.500 0.000
Tb 0.000 0.000 0.500
Pm 0.500 0.000 0.500
Pm 0.500 0.500 0.500
Pm 0.000 0.500 0.500
S 0.254 0.508 0.262
S 0.746 0.492 0.738
S 0.762 0.523 0.273
S 0.238 0.477 0.727
S 0.762 0.011 0.273
S 0.238 0.989 0.727
S 0.249 0.011 0.273
S 0.751 0.989 0.727

***

LaSiI2: optimized geometry, GGA-PBE.

- D(E_F): 5.26 states/eV/f.u.
- SG: Fm-3m (225)
- Electronic total energy: -0.1327 Ha/atom

abc: 5.549 5.549 5.549
angles: 60.00 60.00 60.00
Element x y z (fractional)
I 0.250 0.250 0.250
I 0.750 0.750 0.750
Si 0.000 0.000 0.000
La 0.500 0.500 0.500

***

MgCoIr2: optimized geometry, GGA-PBE.

- D(E_F): 3.39 states/eV/f.u.
- SG: I4/mmm (139)
- ΔE_f: -0.57 kcal/mol of atoms

abc: 4.626 4.626 4.626
angles: 130.90 130.90 71.96
Element x y z (fractional)
Co 0.750 0.250 0.500
Ir 0.000 0.000 0.000
Ir 0.500 0.500 0.000
Mg 0.250 0.750 0.500

***

CaTb3Y3: optimized geometry, GGA-PBE.

- D(E_F): 12.34 states/eV/f.u.
- SG: P-1 (2)
- ΔE_f: 1.02 kcal/mol of atoms

abc: 9.719 9.710 9.303
angles: 41.95 53.33 59.85
Element x y z (fractional)
Ca 0.594 0.521 0.251
Ca 0.406 0.479 0.749
Tb 0.162 0.666 0.251
Tb 0.882 0.088 0.256
Tb 0.748 0.819 0.239
Tb 0.252 0.181 0.761
Tb 0.118 0.912 0.744
Tb 0.838 0.334 0.749
Y 0.547 0.772 0.743
Y 0.698 0.040 0.753
Y 0.977 0.618 0.744
Y 0.023 0.382 0.256
Y 0.302 0.960 0.247
Y 0.453 0.228 0.257

***

RbLaGa3: optimized geometry, GGA-PBE.

- D(E_F): 5.70 states/eV/f.u.
- SG: Pm-3m (221)
- ΔE_f: 18.68 kcal/mol of atoms

abc: 5.546 5.546 5.546
angles: 90.00 90.00 90.00
Element x y z (fractional)
Ga 0.000 0.500 0.000
Ga 0.000 0.000 0.500
Ga 0.500 0.000 0.000
Rb 0.000 0.000 0.000
La 0.500 0.500 0.500

***

TaTlSe: optimized geometry, GGA-PBE.

- D(E_F): 1.17 states/eV/f.u.
- SG: P3m1 (156)
- Electronic total energy: -0.2212 Ha/atom

abc: 3.327 3.327 6.921
angles: 90.00 90.00 120.00
Element x y z (fractional)
Se 0.000 0.000 0.054
Ta 0.667 0.333 0.300
Tl 0.333 0.667 0.646

***

KCuW2: optimized geometry, GGA-PBE.

- D(E_F): 3.76 states/eV/f.u.
- SG: P4mm (99)
- ΔE_f: 19.32 kcal/mol of atoms

abc: 3.243 3.243 8.353
angles: 90.00 90.00 90.00
Element x y z (fractional)
Cu 0.000 0.000 0.425
K 0.500 0.500 0.731
W 0.000 0.000 0.098
W 0.500 0.500 0.247

***

| no. | total magnetization (μB per atom) |
| --- | --- |
| 1 | 0.0000 |
| 2 | 0.0000 |
| 3 | 0.0635 |
| 4 | 0.0000 |
| 5 | 0.0000 |
| 6 | 0.0000 |
| 7 | 0.0001 |
| 8 | 0.0000 |
| 9 | 0.0001 |
| 10 | 0.0000 |
| 11 | 0.0000 |
| 12 | 0.0000 |